Computed, not measured: a geometry-optimized Tb5ErPt4 structure at the PBE-GGA level of DFT.

Computed properties:
- SG: No. 12
- Calculated total energy: -61.759 eV/cell
- Energy of formation: -0.99 eV/atom

Lattice parameters (Å, degrees): 9.6527 9.6527 7.6913 113.44 113.44 24.62
Closest atoms and distances in Å follow each position.
Sites, in units of the cell vectors:
Tb 0.0000 0.0000 0.0000  4 Pt 2.82
Tb 0.3367 0.3367 0.0947  4 Pt 2.81-2.96
Tb 0.3366 0.3366 0.5782  4 Pt 2.81-2.96
Tb 0.6634 0.6634 0.4218  4 Pt 2.81-2.96
Tb 0.6633 0.6633 0.9053  4 Pt 2.81-2.96
Er 0.0000 0.0000 0.5000  4 Pt 2.81
Pt 0.2094 0.2094 0.7094  6 Tb 2.88-2.96
Pt 0.5000 0.5000 0.2505  4 Tb 2.81-2.82, 2 Er 2.81
Pt 0.5000 0.5000 0.7495  4 Tb 2.81-2.82, 2 Er 2.81
Pt 0.7906 0.7906 0.2906  6 Tb 2.88-2.96

Computed, not measured: a geometry-optimized BeFe2HPd structure at the PBE-GGA level of DFT.

Computed properties:
- SG: No. 123
- Calculated total energy: -29.404 eV/cell

Lattice parameters (Å, degrees): 3.5003 3.5003 4.0563 90.00 90.00 90.00
Closest atoms and distances in Å follow each position.
Sites, in units of the cell vectors:
Be 0.0000 0.0000 0.0000  2 H 2.03
Fe 0.0000 0.5000 0.5000  2 H 1.75
Fe 0.5000 0.0000 0.5000  2 H 1.75
H 0.0000 0.0000 0.5000  4 Fe 1.75
Pd 0.5000 0.5000 0.0000  4 Be 2.48, 8 Fe 2.68

no.,spin magnetization (μB per formula unit)
1,0.0
2,4.9